Entry 1:
## Sb2IrPb (PBE)

Data for crystalline Sb2IrPb at its relaxed geometry.

Cell and atoms, written as POSCAR:
```
Sb2IrPb
1.0
3.951 0.000 0.000
0.000 3.567 0.000
-1.902 0.000 7.263
Sb Ir Pb
2 1 1
direct
0.000 0.000 0.000
0.354 0.500 0.712
0.810 0.000 0.621
0.649 0.500 0.303
```

Results
formation energy from raw total energies	159	meV/atom

Entry 2:
## Ba3CdPd (PBE)

Data for crystalline Ba3CdPd at its relaxed geometry.

Cell and atoms, written as POSCAR:
```
Ba3CdPd
1.0
6.127 0.000 0.000
0.315 8.266 0.000
0.153 0.816 8.488
Ba Cd Pd
6 2 2
direct
0.000 0.000 0.000
0.008 0.527 0.484
0.478 0.922 0.340
0.488 0.239 0.721
0.523 0.728 0.809
0.537 0.381 0.198
0.037 0.450 0.981
0.979 0.034 0.560
0.047 0.219 0.268
0.505 0.567 0.501
```

Results
ΔH_f (0 K)	-0.29	eV/atom
distance to the lowest polymorph of the same formula	50	meV per atom

Entry 3:
## Hg5Pd2F12 (PBE)

Data for crystalline Hg5Pd2F12 at its relaxed geometry.

Cell and atoms, written as POSCAR:
```
Hg5Pd2F12
1.0
5.940 0.000 0.000
2.958 6.429 0.000
0.115 2.761 8.057
Hg Pd F
5 2 12
direct
0.000 0.000 0.000
0.317 0.361 0.146
0.327 0.354 0.700
0.673 0.646 0.300
0.683 0.639 0.854
0.245 0.001 0.500
0.755 0.999 0.500
0.080 0.339 0.386
0.093 0.309 0.943
0.234 0.038 0.728
0.275 0.965 0.272
0.402 0.691 0.058
0.430 0.663 0.613
0.570 0.337 0.387
0.598 0.309 0.942
0.725 0.035 0.728
0.766 0.962 0.272
0.907 0.691 0.057
0.920 0.661 0.614
```

Results
formation energy from raw total energies	-1233	meV/atom

Entry 4:
## BaLi3Fe (PBE)

Data for crystalline BaLi3Fe at its relaxed geometry.

Cell and atoms, written as POSCAR:
```
BaLi3Fe
1.0
5.018 0.000 0.000
0.000 5.018 0.000
0.000 0.000 5.018
Ba Li Fe
1 3 1
direct
0.000 0.000 0.000
0.000 0.500 0.500
0.500 0.000 0.500
0.500 0.500 0.000
0.500 0.500 0.500
```

Results
ΔH_f (0 K)	0.67	eV/atom

Entry 5:
## ErTlIn4 (PBE)

Data for crystalline ErTlIn4 at its relaxed geometry.

Cell and atoms, written as POSCAR:
```
ErTlIn4
1.0
0.000 4.333 4.333
4.333 0.000 4.333
4.333 4.333 0.000
Er Tl In
1 1 4
direct
0.000 0.000 0.000
0.750 0.750 0.750
0.375 0.375 0.375
0.375 0.375 0.876
0.375 0.876 0.375
0.876 0.375 0.375
```

Results
ΔH_f (0 K)	-0.05	eV/atom

Entry 6:
## KHCl2F8 (PBE)

Data for crystalline KHCl2F8 at its relaxed geometry.

Cell and atoms, written as POSCAR:
```
KHCl2F8
1.0
4.686 -3.002 0.000
4.686 3.002 0.000
-3.164 0.000 6.823
K H Cl F
1 1 2 8
direct
0.000 0.000 0.000
0.000 0.000 0.500
0.496 0.496 0.690
0.504 0.504 0.310
0.181 0.814 0.327
0.186 0.819 0.673
0.302 0.302 0.514
0.309 0.309 0.105
0.691 0.691 0.895
0.698 0.698 0.486
0.814 0.181 0.327
0.819 0.186 0.673
```

Results
calculated total energy	-2.84	eV per atom